Density functional theory data (PBE with a Hubbard U) for KTbSnWO6 after structural relaxation.

Computed properties:
density of states at the Fermi level = 0.000 states/eV per atom
E above lowest polymorph = 9 meV per atom
energy = -0.2520 hartree per atom
symmetry = F-43m (216)

Unit cell a=5.942 b=5.942 c=5.942 alpha=60.00 beta=60.00 gamma=60.00
Fractional positions:
O (0.268, 0.732, 0.732)
W (0.500, 0.500, 0.500)
Tb (0.000, 0.000, 0.000)
O (0.732, 0.268, 0.268)
K (0.750, 0.750, 0.750)
O (0.732, 0.268, 0.732)
O (0.732, 0.732, 0.268)
O (0.268, 0.268, 0.732)
Sn (0.250, 0.250, 0.250)
O (0.268, 0.732, 0.268)